## RbW (PBE-GGA)

Data for a geometry-optimized RbW structure.

Structure (POSCAR):
```
RbW
1.0
7.521 0.000 0.000
0.000 7.521 0.000
0.000 0.000 7.521
Rb W
4 4
Direct
0.000 0.000 0.000
0.000 0.500 0.500
0.500 0.000 0.500
0.500 0.500 0.000
0.000 0.000 0.500
0.000 0.500 0.000
0.500 0.000 0.000
0.500 0.500 0.500
```

## Properties
ΔE to the lowest computed polymorph: 2360.2 meV/atom
Energy of formation from the pure elements: 3.25 eV/atom
DFT total energy: -3.715 eV per atom
Space group: Fm-3m